(1)
# Ho2GeTe4 | Alexandria via LeMat-Bulk | GGA-PBE | relaxed
data_Ho2GeTe4
_space_group_name_H-M_alt 'C 1 2/m 1'
_space_group_IT_number 12
_cell_length_a 15.890
_cell_length_b 4.332
_cell_length_c 7.581
_cell_angle_alpha 90.00
_cell_angle_beta 117.07
_cell_angle_gamma 90.00
loop_
_space_group_symop_operation_xyz
'x,y,z'
'-x,-y,-z'
'-x,y,-z'
'x,-y,z'
'x+1/2,y+1/2,z'
'-x+1/2,-y+1/2,-z'
'-x+1/2,y+1/2,-z'
'x+1/2,-y+1/2,z'
loop_
_atom_site_label
_atom_site_fract_x
_atom_site_fract_y
_atom_site_fract_z
Ho1 0.238 0.000 0.223
Ge1 0.000 0.500 0.500
Te1 0.118 0.500 0.945
Te2 0.130 0.000 0.475
# E_form (uncorrected) = -0.98 eV per atom
# Magnetic moment = 0.00 μB/f.u.

---

(2)
# CoRe2Au | Alexandria via LeMat-Bulk | GGA-PBE | relaxed
data_CoRe2Au
_space_group_name_H-M_alt 'I -4 2 d'
_space_group_IT_number 122
_space_group_name_Hall 'I -4 2bw'
_cell_length_a 7.122
_cell_length_b 7.122
_cell_length_c 4.995
_cell_angle_alpha 90.00
_cell_angle_beta 90.00
_cell_angle_gamma 90.00
loop_
_atom_site_label
_atom_site_fract_x
_atom_site_fract_y
_atom_site_fract_z
Co1 0.000 0.000 0.000
Re1 0.189 0.250 0.125
Au1 0.000 0.000 0.500
# Magnetic moment = 0.00 μB/f.u.
# ΔH_f (0 K) = 3.35 eV per formula unit
# Excess energy over the best structure of this formula in the dataset = 0.601 eV per atom

---

(3)
# Nd4SmS5 | Alexandria via LeMat-Bulk | GGA-PBE | relaxed
data_Nd4SmS5
_space_group_name_H-M_alt 'I m m m'
_space_group_IT_number 71
_space_group_name_Hall '-I 2 2'
_cell_length_a 4.057
_cell_length_b 5.735
_cell_length_c 20.303
_cell_angle_alpha 90.00
_cell_angle_beta 90.00
_cell_angle_gamma 90.00
loop_
_atom_site_label
_atom_site_fract_x
_atom_site_fract_y
_atom_site_fract_z
Nd1 0.000 0.000 0.100
Nd2 0.000 0.000 0.301
Sm1 0.000 0.000 0.500
S1 0.000 0.500 0.098
S2 0.000 0.500 0.300
S3 0.000 0.500 0.500
# E_form (uncorrected) = -2.02 eV per atom
# Magnetic moment = 0.00 μB/f.u.

---

(4)
# Ni2Pd3 | Alexandria via LeMat-Bulk | GGA-PBE | relaxed
data_Ni2Pd3
_space_group_name_H-M_alt 'R -3 c'
_space_group_IT_number 167
_space_group_name_Hall '-R 3 2"c'
_cell_length_a 5.2339
_cell_length_b 5.2339
_cell_length_c 19.0244
_cell_angle_alpha 90.00
_cell_angle_beta 90.00
_cell_angle_gamma 120.00
loop_
_atom_site_label
_atom_site_fract_x
_atom_site_fract_y
_atom_site_fract_z
Ni1 0.0000 0.0000 0.1902
Pd1 0.0000 0.4511 0.2500
# Magnetic moment = 2.40 μB/f.u.
# ΔH_f (0 K) = 1.61 eV per formula unit
# Excess energy over the best structure of this formula in the dataset = 0.279 eV per atom

---

(5)
# Mn2Zn2Rh3 | Alexandria via LeMat-Bulk | GGA-PBE | relaxed
data_Mn2Zn2Rh3
_space_group_name_H-M_alt 'C 1 2/m 1'
_space_group_IT_number 12
_cell_length_a 7.390
_cell_length_b 4.277
_cell_length_c 7.162
_cell_angle_alpha 90.00
_cell_angle_beta 109.39
_cell_angle_gamma 90.00
loop_
_space_group_symop_operation_xyz
'x,y,z'
'-x,-y,-z'
'-x,y,-z'
'x,-y,z'
'x+1/2,y+1/2,z'
'-x+1/2,-y+1/2,-z'
'-x+1/2,y+1/2,-z'
'x+1/2,-y+1/2,z'
loop_
_atom_site_label
_atom_site_fract_x
_atom_site_fract_y
_atom_site_fract_z
Mn1 0.118 0.000 0.350
Zn1 0.127 0.500 0.887
Rh1 0.000 0.500 0.500
Rh2 0.244 0.000 0.739
# Magnetic moment = 8.11 μB/f.u.
# ΔH_f (0 K) = -0.95 eV per formula unit

---

(6)
# LaFe2Br | Alexandria via LeMat-Bulk | GGA-PBE | relaxed
data_LaFe2Br
_space_group_name_H-M_alt 'C m m m'
_space_group_IT_number 65
_space_group_name_Hall '-C 2 2'
_cell_length_a 5.677
_cell_length_b 9.373
_cell_length_c 3.446
_cell_angle_alpha 90.00
_cell_angle_beta 90.00
_cell_angle_gamma 90.00
loop_
_atom_site_label
_atom_site_fract_x
_atom_site_fract_y
_atom_site_fract_z
La1 0.000 0.000 0.000
Fe1 0.250 0.250 0.500
Br1 0.000 0.500 0.000
# E_form (uncorrected) = 0.50 eV per atom
# Magnetic moment = 5.73 μB/f.u.
# Excess energy over the best structure of this formula in the dataset = 0.608 eV per atom

---

(7)
# TaBe3Al | Alexandria via LeMat-Bulk | GGA-PBE | relaxed
data_TaBe3Al
_space_group_name_H-M_alt 'P m -3 m'
_space_group_IT_number 221
_space_group_name_Hall '-P 4 2 3'
_cell_length_a 4.449
_cell_length_b 4.449
_cell_length_c 4.449
_cell_angle_alpha 90.00
_cell_angle_beta 90.00
_cell_angle_gamma 90.00
loop_
_atom_site_label
_atom_site_fract_x
_atom_site_fract_y
_atom_site_fract_z
Ta1 0.000 0.000 0.000
Be1 0.000 0.000 0.500
Al1 0.500 0.500 0.500
# Magnetic moment = 0.00 μB/f.u.
# ΔH_f (0 K) = 7.87 eV per formula unit
# Excess energy over the best structure of this formula in the dataset = 0.466 eV per atom

---

(8)
# Rb2MnIBr6 | Alexandria via LeMat-Bulk | GGA-PBE | relaxed
data_Rb2MnIBr6
_space_group_name_H-M_alt 'I 4/m m m'
_space_group_IT_number 139
_space_group_name_Hall '-I 4 2'
_cell_length_a 7.939
_cell_length_b 7.939
_cell_length_c 11.986
_cell_angle_alpha 90.00
_cell_angle_beta 90.00
_cell_angle_gamma 90.00
loop_
_atom_site_label
_atom_site_fract_x
_atom_site_fract_y
_atom_site_fract_z
Rb1 0.000 0.500 0.250
Mn1 0.000 0.000 0.000
I1 0.000 0.000 0.500
Br1 0.000 0.000 0.205
Br2 0.225 0.225 0.000
# E_form (uncorrected) = -0.91 eV per atom
# Magnetic moment = 3.17 μB/f.u.

---

(9)
# CsLiSn3 | Alexandria via LeMat-Bulk | GGA-PBE | relaxed
data_CsLiSn3
_space_group_name_H-M_alt 'P m -3 m'
_space_group_IT_number 221
_space_group_name_Hall '-P 4 2 3'
_cell_length_a 6.272
_cell_length_b 6.272
_cell_length_c 6.272
_cell_angle_alpha 90.00
_cell_angle_beta 90.00
_cell_angle_gamma 90.00
loop_
_atom_site_label
_atom_site_fract_x
_atom_site_fract_y
_atom_site_fract_z
Cs1 0.000 0.000 0.000
Li1 0.500 0.500 0.500
Sn1 0.000 0.000 0.500
# Magnetic moment = 0.00 μB/f.u.
# ΔH_f (0 K) = 6.02 eV per formula unit
# Excess energy over the best structure of this formula in the dataset = 1.120 eV per atom

---

(10)
# Zn2BiIrRu | Alexandria via LeMat-Bulk | GGA-PBE | relaxed
data_Zn2BiIrRu
_space_group_name_H-M_alt 'P 4/m m m'
_space_group_IT_number 123
_space_group_name_Hall '-P 4 2'
_cell_length_a 4.687
_cell_length_b 4.687
_cell_length_c 5.041
_cell_angle_alpha 90.00
_cell_angle_beta 90.00
_cell_angle_gamma 90.00
loop_
_atom_site_label
_atom_site_fract_x
_atom_site_fract_y
_atom_site_fract_z
Zn1 0.000 0.500 0.000
Bi1 0.000 0.000 0.500
Ir1 0.500 0.500 0.500
Ru1 0.000 0.000 0.000
# Magnetic moment = 0.00 μB/f.u.
# ΔH_f (0 K) = 5.23 eV per formula unit

---

(11)
# Pm3Ho5Tl | Alexandria via LeMat-Bulk | GGA-PBE | relaxed
data_Pm3Ho5Tl
_space_group_name_H-M_alt 'I 4/m c m'
_space_group_IT_number 140
_space_group_name_Hall '-I 4 2c'
_cell_length_a 9.209
_cell_length_b 9.209
_cell_length_c 13.868
_cell_angle_alpha 90.00
_cell_angle_beta 90.00
_cell_angle_gamma 90.00
loop_
_atom_site_label
_atom_site_fract_x
_atom_site_fract_y
_atom_site_fract_z
Pm1 0.000 0.000 0.250
Pm2 0.117 0.383 0.000
Ho1 0.000 0.000 0.000
Ho2 0.191 0.309 0.365
Tl1 0.000 0.500 0.250
# Magnetic moment = 0.00 μB/f.u.
# ΔH_f (0 K) = 1.67 eV per formula unit

---

(12)
# Zn4Cu9Pt11 | Alexandria via LeMat-Bulk | GGA-PBE | relaxed
data_Zn4Cu9Pt11
_space_group_name_H-M_alt 'C m m m'
_space_group_IT_number 65
_space_group_name_Hall '-C 2 2'
_cell_length_a 14.572
_cell_length_b 16.630
_cell_length_c 2.803
_cell_angle_alpha 90.00
_cell_angle_beta 90.00
_cell_angle_gamma 90.00
loop_
_atom_site_label
_atom_site_fract_x
_atom_site_fract_y
_atom_site_fract_z
Zn1 0.141 0.087 0.000
Cu1 0.000 0.000 0.000
Cu2 0.118 0.413 0.000
Cu3 0.120 0.241 0.000
Pt1 0.000 0.143 0.500
Pt2 0.000 0.325 0.500
Pt3 0.000 0.500 0.500
Pt4 0.239 0.330 0.500
Pt5 0.240 0.500 0.500
# Magnetic moment = 0.00 μB/f.u.
# ΔH_f (0 K) = -6.09 eV per formula unit

---

no.,mass density (g cm⁻³)
1,6.52
2,16.47
3,6.24
4,9.64
5,8.55
6,5.99
7,4.43
8,3.66
9,3.34
10,9.49
11,8.27
12,14.57